Computed, not measured: a geometry-optimized Tb2HPb structure at the GGA-PBE level of DFT.

Values from the calculation:
The calculation puts the density of states at the Fermi level at 2.240 states/eV/f.u. The calculation puts the volume at 179.34 Å³ per cell. Its total energy is -37.158 eV per cell. For the magnetic moment, the calculation gives 0.0 μB/f.u. For the energy relative to the lowest polymorph listed for this composition, the calculation gives 0.0 meV per atom.

Structure (CIF):
```
data_Tb2HPb
_chemical_formula_sum 'Tb4 H2 Pb2'
_symmetry_space_group_name_H-M 'P 4/n m m'
_symmetry_Int_Tables_number 129
_cell_length_a 4.5603
_cell_length_b 4.5603
_cell_length_c 8.6239
_cell_angle_alpha 90.00
_cell_angle_beta 90.00
_cell_angle_gamma 90.00
loop_
_symmetry_equiv_pos_as_xyz
'x,y,z'
'-x,-y,-z'
'-y+1/2,x,z'
'y+1/2,-x,-z'
'-x+1/2,-y+1/2,z'
'x+1/2,y+1/2,-z'
'y,-x+1/2,z'
'-y,x+1/2,-z'
'x+1/2,-y,-z'
'-x+1/2,y,z'
'-y,-x,-z'
'y,x,z'
'-x,y+1/2,-z'
'x,-y+1/2,z'
'y+1/2,x+1/2,-z'
'-y+1/2,-x+1/2,z'
loop_
_atom_site_label
_atom_site_type_symbol
_atom_site_fract_x
_atom_site_fract_y
_atom_site_fract_z
_atom_site_occupancy
Tb1 Tb 0.2500 0.2500 0.1527 1
Tb2 Tb 0.2500 0.7500 0.5000 1
H1 H 0.2500 0.2500 0.4195 1
Pb1 Pb 0.2500 0.2500 0.7842 1
```

Computed, not measured: a geometry-optimized Sm3B2SbPt9 structure at the GGA-PBE level of DFT.

Values from the calculation:
The calculation puts the density of states at the Fermi level at 3.889 states/eV/f.u. The calculation puts the volume at 277.66 Å³ per cell. Its total energy is -97.724 eV per cell. For the magnetic moment, the calculation gives 0.0 μB/f.u. The raw formation energy is -0.7815 eV/atom.

Structure (CIF):
```
data_Sm3B2SbPt9
_chemical_formula_sum 'Sm3 B2 Sb1 Pt9'
_symmetry_space_group_name_H-M 'P -3 m 1'
_symmetry_Int_Tables_number 164
_symmetry_space_group_name_Hall '-P 3 2"'
_cell_length_a 5.8218
_cell_length_b 5.8218
_cell_length_c 9.4595
_cell_angle_alpha 90.00
_cell_angle_beta 90.00
_cell_angle_gamma 120.00
loop_
_atom_site_label
_atom_site_type_symbol
_atom_site_fract_x
_atom_site_fract_y
_atom_site_fract_z
_atom_site_occupancy
Sm1 Sm 0.0000 0.0000 0.0000 1
Sm2 Sm 0.3333 0.6667 0.6151 1
B1 B 0.3333 0.6667 0.1432 1
Sb1 Sb 0.0000 0.0000 0.5000 1
Pt1 Pt 0.0000 0.5000 0.0000 1
Pt2 Pt 0.1676 0.3352 0.2788 1
```

Computed, not measured: a geometry-optimized CaPuTh2P4 structure at the GGA-PBE level of DFT.

Values from the calculation:
The calculation puts the density of states at the Fermi level at 14.048 states/eV/f.u. The calculation puts the volume at 197.71 Å³ per cell. Its total energy is -63.764 eV per cell. The value obtained for the calculated formation energy is -1.37 eV/atom. For the magnetic moment, the calculation gives 5.4 μB/f.u.

Structure (CIF):
```
data_CaPuTh2P4
_chemical_formula_sum 'Ca1 Pu1 Th2 P4'
_symmetry_space_group_name_H-M 'P 1 2/m 1'
_symmetry_Int_Tables_number 10
_cell_length_a 7.0873
_cell_length_b 4.1402
_cell_length_c 7.1601
_cell_angle_alpha 90.00
_cell_angle_beta 109.77
_cell_angle_gamma 90.00
loop_
_symmetry_equiv_pos_as_xyz
'x,y,z'
'-x,-y,-z'
'-x,y,-z'
'x,-y,z'
loop_
_atom_site_label
_atom_site_type_symbol
_atom_site_fract_x
_atom_site_fract_y
_atom_site_fract_z
_atom_site_occupancy
Ca1 Ca 0.0000 0.0000 0.0000 1
Pu1 Pu 0.0000 0.5000 0.5000 1
Th1 Th 0.5000 0.0000 0.5000 1
Th2 Th 0.5000 0.5000 0.0000 1
P1 P 0.2461 0.0000 0.7442 1
P2 P 0.2530 0.5000 0.2547 1
```

Computed, not measured: a geometry-optimized ReSn2OsF structure at the GGA-PBE level of DFT.

Values from the calculation:
The calculation puts the density of states at the Fermi level at 6.002 states/eV/f.u. The calculation puts the volume at 105.33 Å³ per cell. Its total energy is -29.277 eV per cell. For the magnetic moment, the calculation gives 2.6 μB/f.u. The raw formation energy is 0.8556 eV/atom.

Structure (CIF):
```
data_ReSn2OsF
_chemical_formula_sum 'Re1 Sn2 Os1 F1'
_symmetry_space_group_name_H-M 'P 4/m m m'
_symmetry_Int_Tables_number 123
_symmetry_space_group_name_Hall '-P 4 2'
_cell_length_a 5.2367
_cell_length_b 5.2367
_cell_length_c 3.8409
_cell_angle_alpha 90.00
_cell_angle_beta 90.00
_cell_angle_gamma 90.00
loop_
_atom_site_label
_atom_site_type_symbol
_atom_site_fract_x
_atom_site_fract_y
_atom_site_fract_z
_atom_site_occupancy
Re1 Re 0.0000 0.0000 0.0000 1
Sn1 Sn 0.0000 0.5000 0.0000 1
Os1 Os 0.5000 0.5000 0.5000 1
F1 F 0.0000 0.0000 0.5000 1
```

Computed, not measured: a geometry-optimized LaInAs structure at the GGA-PBE level of DFT.

Values from the calculation:
The calculation puts the density of states at the Fermi level at 4.328 states/eV/f.u. The calculation puts the volume at 382.05 Å³ per cell. Its total energy is -53.270 eV per cell. The value obtained for the calculated formation energy is -0.33 eV/atom. For the magnetic moment, the calculation gives 0.0 μB/f.u.

Structure (CIF):
```
data_LaInAs
_chemical_formula_sum 'La4 In4 As4'
_symmetry_space_group_name_H-M 'F -4 3 m'
_symmetry_Int_Tables_number 216
_symmetry_space_group_name_Hall 'F -4 2 3'
_cell_length_a 7.2562
_cell_length_b 7.2562
_cell_length_c 7.2562
_cell_angle_alpha 90.00
_cell_angle_beta 90.00
_cell_angle_gamma 90.00
loop_
_atom_site_label
_atom_site_type_symbol
_atom_site_fract_x
_atom_site_fract_y
_atom_site_fract_z
_atom_site_occupancy
La1 La 0.0000 0.0000 0.0000 1
In1 In 0.2500 0.2500 0.7500 1
As1 As 0.2500 0.2500 0.2500 1
```

Computed, not measured: a geometry-optimized Nd2Dy2Cd structure at the GGA-PBE level of DFT.

Values from the calculation:
The calculation puts the density of states at the Fermi level at 6.011 states/eV/f.u. The calculation puts the volume at 619.73 Å³ per cell. Its total energy is -79.389 eV per cell. The value obtained for the calculated formation energy is -0.04 eV/atom. For the magnetic moment, the calculation gives 0.0 μB/f.u. For the energy relative to the lowest polymorph listed for this composition, the calculation gives 75.2 meV per atom.

Structure (CIF):
```
data_Nd2Dy2Cd
_chemical_formula_sum 'Nd8 Dy8 Cd4'
_symmetry_space_group_name_H-M 'C 1 2/m 1'
_symmetry_Int_Tables_number 12
_cell_length_a 8.5456
_cell_length_b 9.3940
_cell_length_c 8.5757
_cell_angle_alpha 90.00
_cell_angle_beta 115.82
_cell_angle_gamma 90.00
loop_
_symmetry_equiv_pos_as_xyz
'x,y,z'
'-x,-y,-z'
'-x,y,-z'
'x,-y,z'
'x+1/2,y+1/2,z'
'-x+1/2,-y+1/2,-z'
'-x+1/2,y+1/2,-z'
'x+1/2,-y+1/2,z'
loop_
_atom_site_label
_atom_site_type_symbol
_atom_site_fract_x
_atom_site_fract_y
_atom_site_fract_z
_atom_site_occupancy
Nd1 Nd 0.1629 0.0000 0.4302 1
Nd2 Nd 0.2158 0.5000 0.1181 1
Dy1 Dy 0.0751 0.3155 0.7210 1
Cd1 Cd 0.0000 0.1588 0.0000 1
```

Computed, not measured: a geometry-optimized Li2MgCu6 structure at the GGA-PBE level of DFT.

Values from the calculation:
The calculation puts the density of states at the Fermi level at 3.338 states/eV/f.u. The calculation puts the volume at 569.84 Å³ per cell. Its total energy is -110.859 eV per cell. The value obtained for the calculated formation energy is 0.25 eV/atom. For the magnetic moment, the calculation gives 0.0 μB/f.u. For the energy relative to the lowest polymorph listed for this composition, the calculation gives 230.6 meV per atom.

Structure (CIF):
```
data_Li2MgCu6
_chemical_formula_sum 'Li8 Mg4 Cu24'
_symmetry_space_group_name_H-M 'F m -3 m'
_symmetry_Int_Tables_number 225
_symmetry_space_group_name_Hall '-F 4 2 3'
_cell_length_a 8.2906
_cell_length_b 8.2906
_cell_length_c 8.2906
_cell_angle_alpha 90.00
_cell_angle_beta 90.00
_cell_angle_gamma 90.00
loop_
_atom_site_label
_atom_site_type_symbol
_atom_site_fract_x
_atom_site_fract_y
_atom_site_fract_z
_atom_site_occupancy
Li1 Li 0.2500 0.2500 0.2500 1
Mg1 Mg 0.0000 0.0000 0.0000 1
Cu1 Cu 0.0000 0.0000 0.2914 1
```

Computed, not measured: a geometry-optimized LaCo2Rh structure at the GGA-PBE level of DFT.

Values from the calculation:
The calculation puts the density of states at the Fermi level at 7.607 states/eV/f.u. The calculation puts the volume at 129.59 Å³ per cell. Its total energy is -51.770 eV per cell. The value obtained for the calculated formation energy is 0.15 eV/atom. For the magnetic moment, the calculation gives 2.6 μB/f.u.

Structure (CIF):
```
data_LaCo2Rh
_chemical_formula_sum 'La2 Co4 Rh2'
_symmetry_space_group_name_H-M 'I m m m'
_symmetry_Int_Tables_number 71
_symmetry_space_group_name_Hall '-I 2 2'
_cell_length_a 4.0793
_cell_length_b 4.0897
_cell_length_c 7.7678
_cell_angle_alpha 90.00
_cell_angle_beta 90.00
_cell_angle_gamma 90.00
loop_
_atom_site_label
_atom_site_type_symbol
_atom_site_fract_x
_atom_site_fract_y
_atom_site_fract_z
_atom_site_occupancy
La1 La 0.0000 0.0000 0.0000 1
Co1 Co 0.0000 0.5000 0.2499 1
Rh1 Rh 0.0000 0.0000 0.5000 1
```

Computed, not measured: a geometry-optimized Ca2AcPrTl4 structure at the GGA-PBE level of DFT.

Values from the calculation:
The calculation puts the density of states at the Fermi level at 7.002 states/eV/f.u. The calculation puts the volume at 753.11 Å³ per cell. Its total energy is -76.731 eV per cell. The value obtained for the calculated formation energy is -0.40 eV/atom. For the magnetic moment, the calculation gives 0.0 μB/f.u.

Structure (CIF):
```
data_Ca2AcPrTl4
_chemical_formula_sum 'Ca6 Ac3 Pr3 Tl12'
_symmetry_space_group_name_H-M 'R -3 m'
_symmetry_Int_Tables_number 166
_symmetry_space_group_name_Hall '-R 3 2"'
_cell_length_a 5.6104
_cell_length_b 5.6104
_cell_length_c 27.6272
_cell_angle_alpha 90.00
_cell_angle_beta 90.00
_cell_angle_gamma 120.00
loop_
_atom_site_label
_atom_site_type_symbol
_atom_site_fract_x
_atom_site_fract_y
_atom_site_fract_z
_atom_site_occupancy
Ca1 Ca 0.0000 0.0000 0.2490 1
Ac1 Ac 0.0000 0.0000 0.0000 1
Pr1 Pr 0.0000 0.0000 0.5000 1
Tl1 Tl 0.0000 0.0000 0.1266 1
Tl2 Tl 0.0000 0.0000 0.3785 1
```

Computed, not measured: a geometry-optimized TlPdPt2 structure at the GGA-PBE level of DFT.

Values from the calculation:
The calculation puts the density of states at the Fermi level at 4.226 states/eV/f.u. The calculation puts the volume at 68.44 Å³ per cell. Its total energy is -19.989 eV per cell. The value obtained for the calculated formation energy is -0.09 eV/atom. For the magnetic moment, the calculation gives 0.0 μB/f.u.

Structure (CIF):
```
data_TlPdPt2
_chemical_formula_sum 'Tl1 Pd1 Pt2'
_symmetry_space_group_name_H-M 'P 4/m m m'
_symmetry_Int_Tables_number 123
_symmetry_space_group_name_Hall '-P 4 2'
_cell_length_a 4.0507
_cell_length_b 4.0507
_cell_length_c 4.1711
_cell_angle_alpha 90.00
_cell_angle_beta 90.00
_cell_angle_gamma 90.00
loop_
_atom_site_label
_atom_site_type_symbol
_atom_site_fract_x
_atom_site_fract_y
_atom_site_fract_z
_atom_site_occupancy
Tl1 Tl 0.0000 0.0000 0.0000 1
Pd1 Pd 0.5000 0.5000 0.0000 1
Pt1 Pt 0.0000 0.5000 0.5000 1
```

Computed, not measured: a geometry-optimized CaTaIr2 structure at the GGA-PBE level of DFT.

Values from the calculation:
The calculation puts the density of states at the Fermi level at 4.335 states/eV/f.u. The calculation puts the volume at 214.80 Å³ per cell. Its total energy is -91.112 eV per cell. The value obtained for the calculated formation energy is 0.30 eV/atom. For the magnetic moment, the calculation gives 0.6 μB/f.u. For the energy relative to the lowest polymorph listed for this composition, the calculation gives 782.7 meV per atom.

Structure (CIF):
```
data_CaTaIr2
_chemical_formula_sum 'Ca3 Ta3 Ir6'
_symmetry_space_group_name_H-M 'R 3 m'
_symmetry_Int_Tables_number 160
_symmetry_space_group_name_Hall 'R 3 -2"'
_cell_length_a 2.9102
_cell_length_b 2.9102
_cell_length_c 29.2845
_cell_angle_alpha 90.00
_cell_angle_beta 90.00
_cell_angle_gamma 120.00
loop_
_atom_site_label
_atom_site_type_symbol
_atom_site_fract_x
_atom_site_fract_y
_atom_site_fract_z
_atom_site_occupancy
Ca1 Ca 0.0000 0.0000 0.0000 1
Ta1 Ta 0.0000 0.0000 0.2334 1
Ir1 Ir 0.0000 0.0000 0.4929 1
Ir2 Ir 0.0000 0.0000 0.7481 1
```

Computed, not measured: a geometry-optimized Ce2InH2 structure at the GGA-PBE level of DFT.

Values from the calculation:
The calculation puts the density of states at the Fermi level at 9.069 states/eV/f.u. The calculation puts the volume at 179.03 Å³ per cell. Its total energy is -47.366 eV per cell. For the magnetic moment, the calculation gives 1.3 μB/f.u.

Structure (CIF):
```
data_Ce2InH2
_chemical_formula_sum 'Ce4 In2 H4'
_symmetry_space_group_name_H-M 'I 4/m m m'
_symmetry_Int_Tables_number 139
_symmetry_space_group_name_Hall '-I 4 2'
_cell_length_a 4.2026
_cell_length_b 4.2026
_cell_length_c 10.1363
_cell_angle_alpha 90.00
_cell_angle_beta 90.00
_cell_angle_gamma 90.00
loop_
_atom_site_label
_atom_site_type_symbol
_atom_site_fract_x
_atom_site_fract_y
_atom_site_fract_z
_atom_site_occupancy
Ce1 Ce 0.0000 0.0000 0.1459 1
In1 In 0.0000 0.0000 0.5000 1
H1 H 0.0000 0.5000 0.2500 1
```